Entry 1:
Material: SiHg3S4
Method: DFT, GGA-PBE
State: optimized geometry

Cell and atoms, written as POSCAR:
```
SiHg3S4
1.0
6.9460 0.0000 0.0000
0.0000 8.6046 0.0000
0.0000 0.0000 7.6293
Hg Si S
6 2 8
Direct
0.5462 0.8661 0.0000
0.9617 0.8547 0.3098
0.4617 0.1453 0.8098
0.9617 0.8547 0.6902
0.0462 0.1339 0.5000
0.4617 0.1453 0.1902
0.9990 0.2206 0.0000
0.4990 0.7794 0.5000
0.1509 0.3108 0.2253
0.6509 0.6892 0.2747
0.2220 0.6778 0.5000
0.7220 0.3222 0.0000
0.1509 0.3108 0.7747
0.6509 0.6892 0.7253
0.5228 0.0318 0.5000
0.0228 0.9682 0.0000
```

Results
* raw formation energy: -0.2345 eV/atom

***

Entry 2:
Material: SiHgS2
Method: DFT, GGA-PBE
State: optimized geometry

Cell and atoms, written as POSCAR:
```
SiHgS2
1.0
-0.9565 -0.0380 10.5106
0.8644 -2.7745 10.1461
2.3358 0.1837 10.2907
S Si Hg
2 1 1
Direct
0.8757 0.8757 0.8757
0.1243 0.1243 0.1243
0.5000 0.5000 0.5000
0.0000 0.0000 0.0000
```

Results
* raw formation energy: -0.3937 eV/atom

***

no.,total DFT energy (no corrections) (eV for the cell shown)
1,-49.43
2,-15.55